Here is a relaxed TbAgRhPb crystal from the Alexandria database. Energies are from PBE.

## Properties
Calculated volume (Å³/cell): 83.8
Density (g/cm³): 11.4
E_form (eV per atom): -0.34
Space-group type: F-43m (216)
DOS at the Fermi energy (states/eV per atom): 0.69

a b c (Å): 4.9126 4.9126 4.9126
angles (deg): 60.00 60.00 60.00
With the nearest neighbours (Å) after each atom.
Positions (direct):
Tb: 0.0000 0.0000 0.0000  4 Rh 3.01, 4 Ag 3.01
Ag: 0.2500 0.2500 0.2500  4 Pb 3.01, 4 Tb 3.01
Rh: 0.7500 0.7500 0.7500  4 Pb 3.01, 4 Tb 3.01
Pb: 0.5000 0.5000 0.5000  4 Rh 3.01, 4 Ag 3.01